Entry 1:
Sc2TiNbIn: relaxed, PBE.

Cell: 5.2183 5.0287 5.2183 Å, 90.00 90.00 90.00°
Closest atoms and distances in Å follow each position.
Atoms (fractional coordinates):
In  0.0000  0.0000  0.0000  2 Ti 2.51, 4 Sc 2.61
Sc  0.0000  0.0000  0.5000  2 In 2.61
Ti  0.0000  0.5000  0.0000  2 In 2.51
Sc  0.5000  0.0000  0.0000  2 In 2.61
Nb  0.5000  0.5000  0.5000  8 Sc 3.62, 4 Ti 3.69

Values from the calculation:
space-group type = P4/mmm, No. 123
mass density = 4.2 g/cm3
formation enthalpy at 0 K = 5.826 eV per formula unit

---

Entry 2:
ScTiNbIn: relaxed, PBE.

Cell: 4.7940 4.7940 4.7940 Å, 60.00 60.00 60.00°
Closest atoms and distances in Å follow each position.
Atoms (fractional coordinates):
Sc  0.7500  0.7500  0.7500  4 Nb 2.94, 4 In 2.94
In  0.5000  0.5000  0.5000  4 Sc 2.94, 4 Ti 2.94
Nb  0.0000  0.0000  0.0000  4 Ti 2.94, 4 Sc 2.94
Ti  0.2500  0.2500  0.2500  4 In 2.94, 4 Nb 2.94

Values from the calculation:
space-group type = F-43m, No. 216
mass density = 6.4 g/cm3
formation enthalpy at 0 K = -0.239 eV per formula unit

---

Entry 3:
ScNb2InW: relaxed, PBE.

Cell: 4.7644 4.7076 4.7644 Å, 90.00 90.00 90.00°
Closest atoms and distances in Å follow each position.
Atoms (fractional coordinates):
Sc  0.0000  0.0000  0.0000  2 W 2.35, 4 Nb 2.38
In  0.5000  0.5000  0.5000  8 Nb 3.35, 4 W 3.37
Nb  0.5000  0.0000  0.0000  2 Sc 2.38
Nb  0.0000  0.0000  0.5000  2 Sc 2.38
W  0.0000  0.5000  0.0000  2 Sc 2.35

Values from the calculation:
space-group type = P4/mmm, No. 123
mass density = 8.2 g/cm3
formation enthalpy at 0 K = 8.201 eV per formula unit

---

Entry 4:
YScNbIn2: relaxed, PBE.

Cell: 5.5879 4.8779 5.5879 Å, 90.00 90.00 90.00°
Closest atoms and distances in Å follow each position.
Atoms (fractional coordinates):
In  0.5000  0.0000  0.0000  2 Y 2.79
Y  0.0000  0.0000  0.0000  2 Nb 2.44
In  0.0000  0.0000  0.5000  2 Y 2.79
Sc  0.5000  0.5000  0.5000  8 In 3.71, 4 Nb 3.95
Nb  0.0000  0.5000  0.0000  2 Y 2.44

Values from the calculation:
space-group type = P4/mmm, No. 123
mass density = 5.0 g/cm3
formation enthalpy at 0 K = 5.560 eV per formula unit

---

Entry 5:
YSc2NbIn: relaxed, PBE.

Cell: 5.2732 5.2948 5.2732 Å, 90.00 90.00 90.00°
Closest atoms and distances in Å follow each position.
Atoms (fractional coordinates):
Nb  0.0000  0.5000  0.0000  2 In 2.65
Sc  0.0000  0.0000  0.5000  2 In 2.64
In  0.0000  0.0000  0.0000  4 Sc 2.64, 2 Nb 2.65
Sc  0.5000  0.0000  0.0000  2 In 2.64
Y  0.5000  0.5000  0.5000  4 Nb 3.73, 8 Sc 3.74

Values from the calculation:
space-group type = P4/mmm, No. 123
mass density = 4.4 g/cm3
formation enthalpy at 0 K = 3.720 eV per formula unit

---

Entry 6:
ZrScNbIn: relaxed, PBE.

Cell: 4.9315 4.9315 4.9315 Å, 60.00 60.00 60.00°
Closest atoms and distances in Å follow each position.
Atoms (fractional coordinates):
In  0.2500  0.2500  0.2500  4 Zr 3.02, 4 Sc 3.02
Sc  0.0000  0.0000  0.0000  4 Nb 3.02, 4 In 3.02
Nb  0.7500  0.7500  0.7500  4 Zr 3.02, 4 Sc 3.02
Zr  0.5000  0.5000  0.5000  4 In 3.02, 4 Nb 3.02

Values from the calculation:
space-group type = F-43m, No. 216
mass density = 6.7 g/cm3
formation enthalpy at 0 K = -0.286 eV per formula unit

---

Entry 7:
Nb6InSe8: relaxed, PBE.

Cell: 10.1806 10.1806 3.4875 Å, 90.00 90.00 120.00°
Closest atoms and distances in Å follow each position.
Atoms (fractional coordinates):
Nb  0.4865  0.1063  0.5000  6 Se 2.61-2.82, 2 Nb 2.89
Se  0.0608  0.3396  0.0000  4 Nb 2.61-2.84
Nb  0.8937  0.3802  0.5000  6 Se 2.61-2.82, 2 Nb 2.89
Nb  0.5117  0.8938  0.0000  6 Se 2.61-2.84, 2 Nb 2.89
Se  0.6667  0.3333  0.0000  6 Nb 2.74
Se  0.6604  0.7212  0.0000  4 Nb 2.61-2.84
Se  0.9397  0.6587  0.5000  4 Nb 2.61-2.82
Nb  0.3821  0.4883  0.0000  6 Se 2.61-2.84, 2 Nb 2.89
Nb  0.6198  0.5135  0.5000  6 Se 2.61-2.82, 2 Nb 2.89
Se  0.7190  0.0603  0.5000  4 Nb 2.61-2.82
Nb  0.1062  0.6179  0.0000  6 Se 2.61-2.84, 2 Nb 2.89
Se  0.3413  0.2810  0.5000  4 Nb 2.61-2.82
Se  0.2788  0.9392  0.0000  4 Nb 2.61-2.84
Se  0.3333  0.6667  0.5000  6 Nb 2.74
In  0.0000  0.0000  0.5000  3 Se 3.21, 2 In 3.49

Values from the calculation:
formation energy from raw total energies = -0.806 eV/atom
space-group type = P-6, No. 174
mass density = 6.9 g/cm3

---

Entry 8:
NbIn2TcSe: relaxed, PBE.

Cell: 5.2597 4.6461 5.2597 Å, 90.00 90.00 90.00°
Closest atoms and distances in Å follow each position.
Atoms (fractional coordinates):
Se  0.0000  0.5000  0.0000  2 Tc 2.32
Nb  0.5000  0.5000  0.5000  8 In 3.51, 4 Se 3.72
In  0.0000  0.0000  0.5000  2 Tc 2.63
Tc  0.0000  0.0000  0.0000  2 Se 2.32
In  0.5000  0.0000  0.0000  2 Tc 2.63

Values from the calculation:
formation energy from raw total energies = 0.922 eV/atom
space-group type = P4/mmm, No. 123
mass density = 6.5 g/cm3